A relaxed structure of La12H5Pd3, computed with PBE-GGA.

Lattice parameters (Å, degrees): 13.835 13.835 13.835 109.47 109.47 109.47
Fractional coordinates of all 80 atoms:
Pd 0.750 0.375 0.125
Pd 0.875 0.750 0.125
Pd 0.375 0.750 0.625
Pd 0.250 0.125 0.375
Pd 0.875 0.125 0.250
Pd 0.375 0.625 0.250
Pd 0.625 0.375 0.750
Pd 0.125 0.875 0.750
Pd 0.750 0.875 0.625
Pd 0.625 0.250 0.375
Pd 0.125 0.250 0.875
Pd 0.250 0.625 0.875
H 0.125 0.375 0.250
H 0.000 0.500 0.000
H 0.000 0.000 0.000
H 0.375 0.250 0.125
H 0.500 0.000 0.500
H 0.500 0.500 0.000
H 0.125 0.750 0.375
H 0.750 0.125 0.875
H 0.750 0.625 0.375
H 0.375 0.125 0.750
H 0.625 0.875 0.250
H 0.500 0.500 0.500
H 0.500 0.000 0.000
H 0.000 0.000 0.500
H 0.250 0.375 0.625
H 0.250 0.875 0.125
H 0.000 0.500 0.500
H 0.875 0.250 0.625
H 0.625 0.750 0.875
H 0.875 0.625 0.750
La 0.717 0.116 0.026
La 0.309 0.526 0.411
La 0.974 0.384 0.283
La 0.526 0.217 0.116
La 0.601 0.717 0.691
La 0.974 0.589 0.191
La 0.309 0.783 0.399
La 0.089 0.899 0.116
La 0.589 0.974 0.691
La 0.717 0.601 0.191
La 0.783 0.474 0.384
La 0.809 0.911 0.026
La 0.116 0.717 0.526
La 0.384 0.411 0.101
La 0.101 0.911 0.384
La 0.399 0.116 0.589
La 0.101 0.191 0.217
La 0.474 0.691 0.089
La 0.809 0.899 0.283
La 0.116 0.399 0.089
La 0.384 0.974 0.783
La 0.589 0.616 0.399
La 0.911 0.809 0.526
La 0.783 0.309 0.899
La 0.411 0.384 0.601
La 0.089 0.191 0.474
La 0.217 0.691 0.101
La 0.191 0.101 0.717
La 0.616 0.026 0.217
La 0.884 0.601 0.911
La 0.526 0.309 0.911
La 0.601 0.884 0.411
La 0.899 0.809 0.783
La 0.899 0.089 0.616
La 0.884 0.283 0.474
La 0.191 0.089 0.974
La 0.616 0.589 0.899
La 0.411 0.026 0.309
La 0.283 0.399 0.809
La 0.217 0.526 0.616
La 0.911 0.101 0.884
La 0.691 0.217 0.601
La 0.474 0.783 0.884
La 0.026 0.411 0.809
La 0.399 0.283 0.309
La 0.026 0.616 0.717
La 0.691 0.474 0.589
La 0.283 0.884 0.974

Results
Size of the total moment, μB/f.u.: 0.00
Density, g/cm³: 6.5
Uncorrected energy, Ry per atom: -0.365
Symmetry: Ia-3d
V, A^3/atom: 25.483